No. 1
Mn2FeTc2 | PBE | relaxed

Summary:
Density in g/cm3: 9.20
E_tot in eV per atom: -9.2548

```
Mn2FeTc2
1.0
-5.572 -2.922 2.751
3.988 -4.562 3.231
0.183 1.701 2.177
Mn Fe Tc
4 2 4
direct
0.867 0.633 0.000
0.367 0.867 0.000
0.133 0.367 0.000
0.633 0.133 0.000
0.000 0.000 0.000
0.500 0.500 0.000
0.333 0.167 0.500
0.167 0.667 0.500
0.833 0.333 0.500
0.667 0.833 0.500
```

=====

No. 2
ZnCdGa6 | PBE | relaxed

Summary:
Density in g/cm3: 6.33
E_tot in eV per atom: -2.4947

```
ZnCdGa6
1.0
-1.573 2.270 -5.380
-4.840 -0.979 3.491
4.062 3.512 2.782
Cd Ga Zn
1 6 1
direct
0.000 0.000 0.000
0.254 0.733 0.254
0.733 0.254 0.254
0.254 0.254 0.733
0.267 0.746 0.746
0.746 0.267 0.746
0.746 0.746 0.267
0.500 0.500 0.500
```

=====

No. 3
MgFeNi2 | PBE | relaxed

Summary:
Density in g/cm3: 6.44
E_tot in eV per atom: -5.3510

```
MgFeNi2
1.0
-1.080 2.164 -1.023
-3.198 -1.852 -0.542
-1.623 1.422 4.721
Ni Mg Fe
2 1 1
direct
0.000 0.000 0.005
0.500 0.500 0.264
0.500 0.500 0.766
0.000 0.000 0.465
```

=====

No. 4
Nd5TmMg3 | PBE | relaxed

Summary:
Density in g/cm3: 5.70
E_tot in eV per atom: -3.6831

```
Nd5TmMg3
1.0
-5.420 -3.595 -2.678
3.879 -8.194 3.148
-6.034 4.919 5.611
Nd Mg Tm
10 6 2
direct
0.000 0.667 0.333
0.000 0.333 0.667
0.750 0.000 0.330
0.250 0.330 0.330
0.750 0.330 0.000
0.250 0.670 0.000
0.500 0.667 0.333
0.250 0.000 0.670
0.750 0.670 0.670
0.500 0.333 0.667
0.250 0.000 0.331
0.250 0.670 0.669
0.750 0.330 0.331
0.750 0.670 0.000
0.250 0.330 0.000
0.750 0.000 0.669
0.000 0.000 0.000
0.500 0.000 0.000
```

=====

No. 5
VRe2Mo2 | PBE | relaxed

Summary:
Density in g/cm3: 13.58
E_tot in eV per atom: -11.2185

```
VRe2Mo2
1.0
-2.518 0.218 -3.595
-2.020 -3.617 -1.490
-4.076 -1.548 2.760
Mo V Re
2 1 2
direct
0.602 0.796 0.806
0.398 0.204 0.194
0.000 0.000 0.000
0.198 0.603 0.595
0.802 0.397 0.405
```

=====

No. 6
Y2Sb3Pd5 | PBE | relaxed

Summary:
Density in g/cm3: 8.76
Uncorrected formation energy in eV per formula unit: -7.9
E_tot in eV per atom: -5.9203

```
Y2Sb3Pd5
1.0
4.449 0.000 -0.758
0.000 7.112 0.000
-0.091 0.000 12.903
Sb Pd Y
6 10 4
direct
0.947 0.472 0.894
0.608 0.551 0.216
0.220 0.177 0.439
0.392 0.051 0.784
0.053 0.972 0.106
0.780 0.677 0.561
0.610 0.944 0.220
0.881 0.773 0.762
0.705 0.394 0.410
0.950 0.082 0.900
0.119 0.273 0.238
0.390 0.444 0.780
0.722 0.979 0.443
0.050 0.582 0.100
0.278 0.479 0.557
0.295 0.894 0.590
0.823 0.228 0.645
0.177 0.728 0.355
0.516 0.264 0.033
0.484 0.764 0.967
```

=====

No. 7
Rb4Ce3VSe8 | PBE | relaxed

Summary:
Density in g/cm3: 4.76
Uncorrected formation energy in eV per formula unit: -23.2
E_tot in eV per atom: -5.1189

```
Rb4Ce3VSe8
1.0
-6.993 -4.229 -2.471
4.169 -2.147 -8.124
4.051 -2.266 7.164
Rb Se Ce V
4 8 3 1
direct
0.000 0.000 0.500
0.000 0.000 0.000
0.500 0.000 0.000
0.500 0.000 0.500
0.252 0.309 0.031
0.778 0.309 0.557
0.266 0.297 0.531
0.221 0.691 0.969
0.222 0.691 0.443
0.748 0.691 0.969
0.779 0.309 0.031
0.734 0.703 0.469
0.000 0.500 0.500
0.500 0.500 0.500
0.500 0.500 0.000
0.000 0.500 0.000
```

=====

No. 8
Pr6HgTe3Ir2 | PBE | relaxed

Summary:
Density in g/cm3: 8.06
Uncorrected formation energy in eV per formula unit: -11.6
E_tot in eV per atom: -5.6469

```
Pr6HgTe3Ir2
1.0
-4.241 -0.326 -0.663
0.779 -9.189 -0.468
0.490 2.230 9.745
Pr Te Ir Hg
6 3 2 1
direct
0.678 0.564 0.355
0.019 0.262 0.037
0.328 0.876 0.656
0.672 0.124 0.344
0.322 0.436 0.645
0.981 0.738 0.963
0.500 0.500 0.000
0.841 0.162 0.683
0.159 0.838 0.317
0.169 0.337 0.338
0.831 0.663 0.662
0.500 0.000 0.000
```